Below is a relaxed PrDy5Y8 crystal, with properties calculated at the PBE level.

Calculated values
E ... -76.12 eV per cell
Space-group type ... I-4, No. 82
M_tot ... 0.00 μB/cell
Energy of formation from the pure elements ... 0.242 eV/atom
Fermi-level density of states ... 22.59 states/eV/f.u.
Calculated density ... 5.9 g cm⁻³
Volume ... 33.30 Å³/atom

abc: 8.471 8.471 8.471
angles: 111.52 111.52 105.44
Atoms (fractional coordinates):
Pr 0.000 0.000 0.000
Dy 0.212 0.612 0.178
Dy 0.388 0.566 0.599
Dy 0.434 0.034 0.822
Dy 0.750 0.250 0.500
Dy 0.966 0.788 0.401
Y 0.082 0.670 0.758
Y 0.173 0.279 0.750
Y 0.330 0.088 0.411
Y 0.530 0.423 0.250
Y 0.577 0.827 0.106
Y 0.677 0.918 0.589
Y 0.721 0.470 0.894
Y 0.912 0.323 0.242